Record 1
This record from the Alexandria database describes a relaxed structure of ReNi2. The functional is PBEsol.

abc: 2.6090 2.6090 5.5286
angles: 103.65 103.65 90.00
Last column: nearest neighbours and their distance in Å.
Sites, in units of the cell vectors:
Re  0.0000  0.0000  0.0000  8 Ni 2.55, 4 Re 2.61
Ni  0.6690  0.6690  0.3380  8 Ni 2.50-2.61, 4 Re 2.55
Ni  0.3310  0.3310  0.6620  8 Ni 2.50-2.61, 4 Re 2.55

- Energy relative to the lowest polymorph listed for this composition: 75.5 meV per atom
- N(E_F): 2.8 states/eV/cell



Record 2
This record from the Alexandria database describes a relaxed structure of Re5Ni. The functional is PBEsol.

abc: 2.7486 4.3331 7.1854
angles: 90.00 101.03 90.00
Last column: nearest neighbours and their distance in Å.
Sites, in units of the cell vectors:
Ni  0.9974  0.0000  0.9947  10 Re 2.63-2.73, 2 Ni 2.75
Re  0.7771  0.5000  0.5543  12 Re 2.69-2.77
Re  0.6647  0.0000  0.3293  10 Re 2.68-2.81, 2 Ni 2.73
Re  0.4474  0.5000  0.8949  8 Re 2.66-2.77, 4 Ni 2.66
Re  0.3381  0.0000  0.6762  2 Ni 2.63, 10 Re 2.66-2.81
Re  0.1086  0.5000  0.2173  10 Re 2.66-2.75, 2 Ni 2.68

- Energy relative to the lowest polymorph listed for this composition: 33.2 meV per atom
- N(E_F): 5.2 states/eV/cell



Record 3
This record from the Alexandria database describes a relaxed structure of Re5Ni. The functional is PBEsol.

abc: 2.7553 5.1338 6.3762
angles: 104.15 90.00 105.57
Last column: nearest neighbours and their distance in Å.
Sites, in units of the cell vectors:
Ni  0.9998  0.9996  0.0019  10 Re 2.63-2.71, 2 Ni 2.76
Re  0.3913  0.7827  0.2701  2 Ni 2.63, 10 Re 2.63-2.76
Re  0.6648  0.3296  0.3313  10 Re 2.63-2.76, 2 Ni 2.69
Re  0.0533  0.1065  0.6155  11 Re 2.63-2.76, 1 Ni 2.65
Re  0.3383  0.6766  0.6687  10 Re 2.63-2.76, 2 Ni 2.69
Re  0.7192  0.4384  0.9459  9 Re 2.65-2.76, 3 Ni 2.67-2.71

- Energy relative to the lowest polymorph listed for this composition: 54.0 meV per atom
- N(E_F): 4.9 states/eV/cell



In order of appearance, formation enthalpy at 0 K = 5, 4, 25 meV per atom.
In order of appearance, M_tot = 0.0, 0.0, 0.0 μB per cell.